Arrangement 1

NaAuS2Cl, optimized geometry, DFT PBE-GGA; N(E_F) = 1.2755 states/eV per atom
1.0
4.856 0.000 0.000
0.000 4.856 0.000
0.000 0.000 5.259
Na Au S Cl
1 1 2 1
Direct
0.000 0.000 0.000
0.500 0.500 0.500
0.000 0.500 0.500
0.500 0.000 0.500
0.500 0.500 0.000

***

Arrangement 2

NaAuS2Cl, optimized geometry, DFT PBE-GGA; N(E_F) = 0.5179 states/eV per atom
1.0
5.148 0.000 0.000
0.000 5.148 0.000
0.000 0.000 4.913
Na Au S Cl
1 1 2 1
Direct
0.000 0.000 0.000
0.500 0.500 0.500
0.000 0.500 0.000
0.500 0.000 0.000
0.000 0.000 0.500

***

The computed energies, referenced to the most stable structure and given in kJ/mol of atoms, are arrangement 1 0.0; arrangement 2 76.0.